1.
A plane-wave DFT calculation with SCAN was carried out for a crystal of TlCd2Br relaxed with PBEsol.

Output
Raw formation energy = -0.2131 eV per atom

Structure (extended XYZ):
```
4
Lattice="-1.577 0.097 3.339 3.009 -1.579 1.467 2.954 6.744 1.198" Properties=species:S:1:pos:R:3 pbc="T T T"
Br 3.032 4.546 3.342
Tl 1.401 3.198 0.568
Cd 1.384 0.785 2.674
Cd 0.047 0.106 0.019
```



2.
A plane-wave DFT calculation with SCAN was carried out for a crystal of BaBeRu2 relaxed with PBEsol.

Output
Formation enthalpy at 0 K = 1169.1 meV/atom

Structure (extended XYZ):
```
4
Lattice="4.610 0.000 0.000 2.305 3.992 0.000 2.305 1.331 3.764" Properties=species:S:1:pos:R:3 pbc="T T T"
Ru 0.000 0.000 0.000
Ru 6.914 3.992 2.823
Ba 4.610 2.661 1.882
Be 2.305 1.331 0.941
```



3.
A plane-wave DFT calculation with SCAN was carried out for a crystal of Tc5Sb relaxed with PBEsol.

Output
Raw formation energy = 0.1091 eV per atom

Structure (extended XYZ):
```
6
Lattice="-0.251 -0.216 4.449 -4.546 -1.471 -0.328 3.557 -3.207 0.045" Properties=species:S:1:pos:R:3 pbc="T T T"
Tc -1.970 -2.158 2.021
Tc 0.731 -2.736 2.145
Tc -0.337 -1.593 -0.096
Tc -2.998 -0.970 -0.216
Tc 2.346 -2.114 0.030
Sb -0.125 -0.108 2.225
```



4.
A plane-wave DFT calculation with SCAN was carried out for a crystal of ZrZnRh2 relaxed with PBEsol.

Output
Formation enthalpy at 0 K = -354.9 meV/atom

Structure (extended XYZ):
```
4
Lattice="-4.336 -0.814 0.374 -1.393 -3.751 1.896 -1.940 0.118 3.978" Properties=species:S:1:pos:R:3 pbc="T T T"
Rh -5.751 -3.335 4.685
Rh 0.000 0.000 0.000
Zr -1.917 -1.112 1.562
Zn -3.834 -2.224 3.124
```



5.
A plane-wave DFT calculation with SCAN was carried out for a crystal of Tl2Hg relaxed with PBEsol.

Output
Formation enthalpy at 0 K = 4.7 meV/atom

Structure (extended XYZ):
```
3
Lattice="-1.592 -3.041 -1.048 2.768 -1.888 1.273 -3.410 2.043 5.399" Properties=species:S:1:pos:R:3 pbc="T T T"
Hg 0.000 0.000 0.000
Tl -1.927 -0.288 3.762
Tl -0.308 -2.598 1.862
```



6.
A plane-wave DFT calculation with SCAN was carried out for a crystal of Sr2TlAu relaxed with PBEsol.

Output
Formation enthalpy at 0 K = -595.4 meV/atom

Structure (extended XYZ):
```
4
Lattice="-2.631 -0.264 2.764 -3.320 -2.381 -3.387 5.109 -3.942 1.840" Properties=species:S:1:pos:R:3 pbc="T T T"
Au -0.189 -2.880 2.192
Tl 1.934 -4.807 1.382
Sr 0.163 -0.421 0.115
Sr -0.617 -3.744 -0.944
```



7.
A plane-wave DFT calculation with SCAN was carried out for a crystal of CoTe2Rh relaxed with PBEsol.

Output
Raw formation energy = -0.0627 eV per atom

Structure (extended XYZ):
```
4
Lattice="3.746 0.000 0.000 0.000 3.746 0.027 0.000 -0.037 5.276" Properties=species:S:1:pos:R:3 pbc="T T T"
Te 1.873 1.855 2.651
Te 0.000 0.000 0.000
Co 1.873 1.873 0.013
Rh 0.000 -0.018 2.638
```



8.
A plane-wave DFT calculation with SCAN was carried out for a crystal of CaTc2Se relaxed with PBEsol.

Output
Raw formation energy = 0.2157 eV per atom

Structure (extended XYZ):
```
4
Lattice="-2.332 1.578 -0.997 -1.652 0.242 4.246 4.525 3.304 -0.879" Properties=species:S:1:pos:R:3 pbc="T T T"
Tc 1.464 2.436 0.431
Tc -0.923 2.688 1.938
Ca -1.166 0.789 -0.499
Se -0.826 0.121 2.123
```



9.
A plane-wave DFT calculation with SCAN was carried out for a crystal of Tl2AsBr relaxed with PBEsol.

Output
Raw formation energy = -0.0133 eV per atom

Structure (extended XYZ):
```
4
Lattice="-3.118 -1.150 1.379 2.129 -1.166 3.842 -0.936 5.938 2.321" Properties=species:S:1:pos:R:3 pbc="T T T"
Tl -0.825 4.440 1.805
Tl -3.230 0.348 1.895
Br -0.963 1.811 3.771
As -0.494 -1.158 2.610
```



10.
A plane-wave DFT calculation with SCAN was carried out for a crystal of Ba2H3I relaxed with PBEsol.

Output
Calculated total energy = -132.273 eV/cell

Structure (extended XYZ):
```
6
Lattice="4.440 0.000 0.000 -2.220 3.845 0.000 0.000 0.000 7.922" Properties=species:S:1:pos:R:3 pbc="T T T"
Ba 2.220 1.282 5.438
Ba 0.000 2.564 2.485
H 0.000 2.564 5.104
H 0.000 0.000 3.961
H 2.220 1.282 2.818
I 0.000 0.000 0.000
```



11.
A plane-wave DFT calculation with SCAN was carried out for a crystal of LaIn2Br relaxed with PBEsol.

Output
Raw formation energy = -0.3069 eV per atom

Structure (extended XYZ):
```
4
Lattice="3.520 -0.014 0.000 -1.492 3.188 0.000 0.000 0.000 9.934" Properties=species:S:1:pos:R:3 pbc="T T T"
Br 1.014 1.587 0.000
In 0.000 0.000 2.314
In 0.000 0.000 7.620
La 1.014 1.587 4.967
```



12.
A plane-wave DFT calculation with SCAN was carried out for a crystal of ScMo2Ru relaxed with PBEsol.

Output
Formation enthalpy at 0 K = -130.3 meV/atom

Structure (extended XYZ):
```
4
Lattice="-0.996 -4.059 1.471 3.056 -2.394 2.136 -0.409 -0.742 4.348" Properties=species:S:1:pos:R:3 pbc="T T T"
Mo 0.000 0.000 0.000
Mo 0.413 -1.799 1.989
Sc 1.238 -5.396 5.966
Ru 0.826 -3.597 3.977
```



13.
A plane-wave DFT calculation with SCAN was carried out for a crystal of Y2Ni2Rh relaxed with PBEsol.

Output
Formation enthalpy at 0 K = -232.4 meV/atom

Structure (extended XYZ):
```
5
Lattice="5.091 -0.005 0.008 -2.535 4.414 -0.008 2.535 1.476 4.160" Properties=species:S:1:pos:R:3 pbc="T T T"
Rh 0.000 0.000 0.000
Y 2.545 1.470 1.042
Y 2.545 4.415 3.118
Ni -0.780 3.397 1.435
Ni 0.780 2.493 2.718
```



14.
A plane-wave DFT calculation with SCAN was carried out for a crystal of BaAs2Rh relaxed with PBEsol.

Output
Formation enthalpy at 0 K = -868.7 meV/atom

Structure (extended XYZ):
```
4
Lattice="-1.427 0.348 3.967 -1.031 -3.470 2.189 4.562 -1.399 4.019" Properties=species:S:1:pos:R:3 pbc="T T T"
Ba 1.052 -2.261 5.087
As -0.127 -1.087 2.305
As 2.230 -3.435 7.870
Rh 0.000 0.000 0.000
```



15.
A plane-wave DFT calculation with SCAN was carried out for a crystal of KAlIn2 relaxed with PBEsol.

Output
Formation enthalpy at 0 K = 186.9 meV/atom

Structure (extended XYZ):
```
4
Lattice="-0.918 1.655 2.380 -5.325 -3.290 -1.103 4.827 -3.130 2.702" Properties=species:S:1:pos:R:3 pbc="T T T"
Al -0.708 -2.383 1.989
K -0.459 0.827 1.190
In 2.414 -1.565 1.351
In -2.663 -1.645 -0.552
```



16.
A plane-wave DFT calculation with SCAN was carried out for a crystal of ZnGaTe3 relaxed with PBEsol.

Output
Raw formation energy = 0.3494 eV per atom

Structure (extended XYZ):
```
5
Lattice="-0.833 -4.634 2.305 1.316 -2.447 -4.445 5.006 -0.128 1.552" Properties=species:S:1:pos:R:3 pbc="T T T"
Te -0.417 -2.317 1.152
Te 0.658 -1.224 -2.223
Te 2.503 -0.064 0.776
Zn 0.000 0.000 0.000
Ga 2.744 -3.605 -0.294
```



17.
A plane-wave DFT calculation with SCAN was carried out for a crystal of Sr3AsI relaxed with PBEsol.

Output
Raw formation energy = -0.1582 eV per atom

Structure (extended XYZ):
```
5
Lattice="5.945 0.000 0.000 0.000 5.945 0.000 0.000 0.000 5.945" Properties=species:S:1:pos:R:3 pbc="T T T"
Sr 0.000 0.000 2.972
Sr 2.972 0.000 0.000
Sr 0.000 2.972 0.000
I 0.000 0.000 0.000
As 2.972 2.972 2.972
```



18.
A plane-wave DFT calculation with SCAN was carried out for a crystal of Ta2BeSi relaxed with PBEsol.

Output
Raw formation energy = -0.1423 eV per atom

Structure (extended XYZ):
```
4
Lattice="3.666 0.000 0.000 0.000 4.165 0.000 -1.833 -2.083 3.728" Properties=species:S:1:pos:R:3 pbc="T T T"
Ta 1.833 2.083 1.912
Ta 0.000 0.000 1.816
Si 0.000 2.083 0.000
Be 1.833 0.000 0.000
```



19.
A plane-wave DFT calculation with SCAN was carried out for a crystal of Cs5As5Se9 relaxed with PBEsol.

Output
Raw formation energy = -0.7728 eV per atom

Structure (extended XYZ):
```
76
Lattice="7.969 0.000 0.000 0.000 12.207 0.000 0.000 0.000 26.718" Properties=species:S:1:pos:R:3 pbc="T T T"
As 3.872 11.163 16.496
As 0.200 7.312 13.088
As 3.872 11.163 23.582
As 7.857 7.147 16.496
As 3.258 11.875 20.039
As 4.097 1.044 10.223
As 7.769 4.895 13.631
As 7.769 4.895 26.447
As 4.185 10.998 13.088
As 0.113 5.059 3.136
As 7.857 7.147 23.582
As 4.185 10.998 0.272
As 0.200 7.312 0.272
As 0.727 5.771 6.680
As 4.712 0.332 6.680
As 0.113 5.059 10.223
As 3.784 1.208 13.631
As 3.784 1.208 26.447
As 4.097 1.044 3.136
As 7.242 6.435 20.039
Se 2.111 10.431 12.158
Se 5.878 4.535 20.039
Se 1.775 3.794 4.159
Se 1.592 6.766 11.167
Se 5.760 2.309 4.159
Se 4.986 0.142 21.725
Se 5.859 1.776 14.561
Se 2.393 0.663 15.552
Se 5.859 1.776 25.517
Se 5.576 11.544 2.192
Se 6.095 7.879 12.158
Se 2.210 9.897 17.519
Se 1.893 1.568 20.039
Se 6.095 7.879 1.202
Se 2.210 9.897 22.559
Se 2.091 7.672 6.680
Se 4.986 0.142 18.353
Se 6.076 10.638 6.680
Se 6.195 8.413 22.559
Se 5.760 2.309 9.200
Se 6.968 6.245 8.366
Se 1.775 3.794 9.200
Se 2.111 10.431 1.202
Se 6.195 8.413 17.519
Se 2.983 12.065 4.993
Se 6.378 5.441 15.552
Se 2.983 12.065 8.366
Se 6.378 5.441 24.526
Se 5.576 11.544 11.167
Se 2.393 0.663 24.526
Se 1.874 4.327 14.561
Se 1.874 4.327 25.517
Se 6.968 6.245 4.993
Se 1.001 5.961 21.725
Se 1.592 6.766 2.192
Se 1.001 5.961 18.353
Cs 4.420 4.454 1.469
Cs 0.192 9.538 4.016
Cs 7.534 10.557 25.250
Cs 3.549 7.752 25.250
Cs 0.192 9.538 9.343
Cs 7.733 10.539 20.039
Cs 0.236 1.668 6.680
Cs 4.221 4.435 6.680
Cs 4.177 8.772 9.343
Cs 3.549 7.752 14.828
Cs 3.793 3.435 22.702
Cs 0.436 1.649 1.469
Cs 7.778 2.668 22.702
Cs 7.534 10.557 14.828
Cs 3.793 3.435 17.376
Cs 3.749 7.771 20.039
Cs 4.420 4.454 11.891
Cs 7.778 2.668 17.376
Cs 0.436 1.649 11.891
Cs 4.177 8.772 4.016
```



20.
A plane-wave DFT calculation with SCAN was carried out for a crystal of YGa3Ru relaxed with PBEsol.

Output
Formation enthalpy at 0 K = -705.8 meV/atom

Structure (extended XYZ):
```
15
Lattice="6.336 0.000 0.000 0.000 6.336 0.000 0.000 0.000 6.336" Properties=species:S:1:pos:R:3 pbc="T T T"
Ga 1.331 1.331 1.331
Ga 1.331 1.331 5.005
Ga 5.005 1.331 5.005
Ga 3.168 3.168 3.168
Ga 5.005 1.331 1.331
Ga 1.331 5.005 1.331
Ga 5.005 5.005 5.005
Ga 1.331 5.005 5.005
Ga 5.005 5.005 1.331
Y 0.000 3.168 3.168
Y 3.168 3.168 0.000
Y 3.168 0.000 3.168
Ru 0.000 3.168 0.000
Ru 0.000 0.000 3.168
Ru 3.168 0.000 0.000
```



21.
A plane-wave DFT calculation with SCAN was carried out for a crystal of Mg2AgSe relaxed with PBEsol.

Output
Raw formation energy = -0.4928 eV per atom

Structure (extended XYZ):
```
4
Lattice="-0.083 3.751 0.069 -2.204 0.007 -3.037 -4.720 -0.167 3.425" Properties=species:S:1:pos:R:3 pbc="T T T"
Ag -5.063 1.740 1.360
Mg -4.455 -0.157 3.233
Mg -2.583 1.828 -0.440
Se -1.986 -0.070 1.441
```



22.
A plane-wave DFT calculation with SCAN was carried out for a crystal of RbZnSeBr2 relaxed with PBEsol.

Output
Raw formation energy = 0.2657 eV per atom

Structure (extended XYZ):
```
5
Lattice="-0.795 -6.189 -0.747 2.468 0.379 -5.767 5.758 -1.028 2.397" Properties=species:S:1:pos:R:3 pbc="T T T"
Rb 0.000 0.000 0.000
Zn 3.716 -3.419 -2.058
Br 1.234 0.189 -2.883
Br -0.397 -3.094 -0.373
Se 2.879 -0.514 1.198
```



23.
A plane-wave DFT calculation with SCAN was carried out for a crystal of Sc2InSe relaxed with PBEsol.

Output
Raw formation energy = -0.9966 eV per atom

Structure (extended XYZ):
```
4
Lattice="3.714 0.000 0.000 0.000 4.218 0.000 0.000 0.000 5.630" Properties=species:S:1:pos:R:3 pbc="T T T"
Sc 1.857 2.109 2.815
Sc 0.000 0.000 0.000
Se 1.857 2.109 0.000
In 0.000 0.000 2.815
```



24.
A plane-wave DFT calculation with SCAN was carried out for a crystal of ZrTlHg2 relaxed with PBEsol.

Output
Formation enthalpy at 0 K = -169.1 meV/atom

Structure (extended XYZ):
```
4
Lattice="4.363 0.000 0.000 0.000 4.363 0.000 0.000 0.000 4.474" Properties=species:S:1:pos:R:3 pbc="T T T"
Hg 2.181 0.000 0.000
Hg 0.000 2.181 0.000
Zr 0.000 0.000 2.237
Tl 2.181 2.181 2.237
```